Record 1
{
  "formula": "KHgO3",
  "functional": "SCAN",
  "state": "single point on PBEsol structure",
  "lattice_angstrom": [[-4.080, 2.454, 0.507], [-1.241, -2.821, 3.664], [2.177, 2.991, 3.040]],
  "species": ["Hg", "O", "O", "O", "K"],
  "frac_coords": [[0.500, 0.500, 0.500], [0.000, 0.500, 0.000], [0.000, 0.000, 0.500], [0.500, 0.000, 0.000], [0.000, 0.000, 0.000]],
  "raw_formation_energy_ev_per_atom": 0.887,
  "dos_at_fermi_per_ev_cell": 4.80,
  "vol_a3_per_fu": 109.8,
  "m_tot_mub_per_fu": 5.0,
  "e_tot_ev_per_cell": -90.75
}

=====

Record 2
{
  "formula": "K3HgO",
  "functional": "SCAN",
  "state": "single point on PBEsol structure",
  "lattice_angstrom": [[5.319, 0.000, 0.000], [0.000, 5.319, 0.000], [0.000, 0.000, 5.319]],
  "species": ["Hg", "O", "K", "K", "K"],
  "frac_coords": [[0.500, 0.500, 0.500], [0.000, 0.000, 0.000], [0.500, 0.000, 0.000], [0.000, 0.500, 0.000], [0.000, 0.000, 0.500]],
  "raw_formation_energy_ev_per_atom": -0.752,
  "dos_at_fermi_per_ev_cell": 2.80,
  "vol_a3_per_fu": 150.5,
  "m_tot_mub_per_fu": 0.4,
  "e_tot_ev_per_cell": -103.14
}

=====

Record 3
{
  "formula": "K2HgOs",
  "functional": "SCAN",
  "state": "single point on PBEsol structure",
  "lattice_angstrom": [[2.970, 0.000, 0.000], [1.485, 2.572, 0.000], [1.485, 0.857, 11.621]],
  "species": ["K", "K", "Os", "Hg"],
  "frac_coords": [[0.756, 0.756, 0.732], [0.244, 0.244, 0.268], [0.500, 0.500, 0.500], [0.000, 0.000, 0.000]],
  "dos_at_fermi_per_ev_cell": 1.51,
  "vol_a3_per_fu": 88.8,
  "m_tot_mub_per_fu": 0.6,
  "e_tot_ev_per_cell": -153.00,
  "formation_enthalpy_0k_ev_per_atom": 0.93
}